8
Lattice="4.144 0.000 0.000 0.000 4.144 0.000 0.000 0.000 9.118" Properties=species:S:1:pos:R:3 comment="BaSrAg2S2F2 | OQMD via LeMat-Bulk | PBE | relaxed" space_group="P4mm, No. 99" pbc="T T T"
Ba 0.000 0.000 0.000
Sr 2.072 2.072 2.991
Ag 0.000 2.072 5.996
Ag 2.072 0.000 5.996
S 0.000 0.000 4.338
S 2.072 2.072 7.719
F 0.000 2.072 1.629
F 2.072 0.000 1.629


24
Lattice="17.347 0.000 0.000 0.000 3.876 0.000 0.000 0.000 12.125" Properties=species:S:1:pos:R:3 comment="RbZrTlS3 | OQMD via LeMat-Bulk | PBE | relaxed" space_group="Pnma, No. 62" pbc="T T T"
Rb 1.897 0.969 0.749
Rb 6.776 2.907 6.811
Rb 10.570 0.969 5.314
Rb 15.450 2.907 11.377
Zr 0.560 2.907 4.220
Zr 8.114 0.969 10.283
Zr 9.233 2.907 1.843
Zr 16.787 0.969 7.905
Tl 3.200 0.969 6.765
Tl 5.473 2.907 0.703
Tl 11.874 0.969 11.423
Tl 14.146 2.907 5.360
S 0.326 0.969 10.071
S 1.091 2.907 6.977
S 2.254 0.969 4.026
S 6.420 2.907 10.089
S 7.582 0.969 0.914
S 8.348 2.907 4.009
S 8.999 0.969 8.117
S 9.764 2.907 11.211
S 10.927 0.969 2.036
S 15.093 2.907 8.099
S 16.256 0.969 5.149
S 17.021 2.907 2.054


16
Lattice="6.373 0.000 0.000 0.000 6.373 0.000 0.000 0.000 6.373" Properties=species:S:1:pos:R:3 comment="Nb2SiPt | OQMD via LeMat-Bulk | PBE | relaxed" space_group="F-43m, No. 216" pbc="T T T"
Nb 0.000 0.000 0.000
Nb 0.000 3.186 3.186
Nb 1.593 1.593 1.593
Nb 1.593 4.779 4.779
Nb 3.186 0.000 3.186
Nb 3.186 3.186 0.000
Nb 4.779 1.593 4.779
Nb 4.779 4.779 1.593
Si 0.000 0.000 3.186
Si 0.000 3.186 0.000
Si 3.186 0.000 0.000
Si 3.186 3.186 3.186
Pt 1.593 1.593 4.779
Pt 1.593 4.779 1.593
Pt 4.779 1.593 1.593
Pt 4.779 4.779 4.779


14
Lattice="0.000 4.367 4.367 4.367 0.000 4.367 4.367 4.367 0.000" Properties=species:S:1:pos:R:3 comment="LuMg2O4 | OQMD via LeMat-Bulk | PBE | relaxed" space_group="Fd-3m, No. 227" pbc="T T T"
Lu 1.092 1.092 1.092
Lu 7.642 7.642 7.642
Mg 4.367 2.183 2.183
Mg 2.183 4.367 2.183
Mg 2.183 2.183 4.367
Mg 4.367 4.367 4.367
O 2.285 2.285 2.285
O 4.265 4.265 2.285
O 4.265 2.285 4.265
O 6.449 4.468 4.468
O 2.285 4.265 4.265
O 4.468 6.449 4.468
O 4.468 4.468 6.449
O 6.449 6.449 6.449


| no. | total DFT energy (no corrections) (eV for the cell shown) |
| --- | --- |
| 1 | -37.38 |
| 2 | -123.49 |
| 3 | -129.05 |
| 4 | -91.57 |